# 1
Material: NbCo3H
Method: DFT, PBEsol
State: relaxed

Lattice parameters (Å, degrees): 3.6349 3.6349 3.6349 90.00 90.00 90.00
Closest atoms and distances in Å follow each position.
Space group Pm-3m (No. 221)
Symmetry-distinct sites (fractional):
1 Nb 0.0000 0.0000 0.0000  12 Co 2.57
2 Co 0.0000 0.5000 0.5000  2 H 1.82
3 H 0.5000 0.5000 0.5000  6 Co 1.82

D(E_F): 2.8 states/eV/f.u.
DFT total energy: -7.688 eV/atom
spin magnetization: 0.79 μB per cell

=====

# 2
Material: CoNiH2
Method: DFT, PBEsol
State: relaxed

Lattice parameters (Å, degrees): 3.7762 3.7762 7.4997 90.00 90.00 90.00
Closest atoms and distances in Å follow each position.
Space group I-42d (No. 122)
Symmetry-distinct sites (fractional):
1 Co 0.0000 0.0000 0.0000  4 H 1.64
2 Ni 0.0000 0.0000 0.5000  4 H 1.63
3 H 0.2479 0.2500 0.6250  2 Ni 1.63, 2 Co 1.64

D(E_F): 3.9 states/eV/f.u.
DFT total energy: -5.091 eV/atom
spin magnetization: 4.57 μB per cell

=====

# 3
Material: CoNi3H
Method: DFT, PBEsol
State: relaxed

Lattice parameters (Å, degrees): 3.5268 3.5268 3.5268 90.00 90.00 90.00
Closest atoms and distances in Å follow each position.
Space group Pm-3m (No. 221)
Symmetry-distinct sites (fractional):
1 Co 0.0000 0.0000 0.0000  12 Ni 2.49
2 Ni 0.0000 0.5000 0.5000  2 H 1.76
3 H 0.5000 0.5000 0.5000  6 Ni 1.76

D(E_F): 7.4 states/eV/f.u.
DFT total energy: -5.878 eV/atom
spin magnetization: 3.13 μB per cell

=====

# 4
Material: TaCo2NiH
Method: DFT, PBEsol
State: relaxed

Lattice parameters (Å, degrees): 3.6899 3.6899 3.5428 90.00 90.00 90.00
Closest atoms and distances in Å follow each position.
Space group P4/mmm (No. 123)
Symmetry-distinct sites (fractional):
1 Ta 0.0000 0.0000 0.0000  8 Co 2.56, 4 Ni 2.61
2 Co 0.0000 0.5000 0.5000  2 H 1.84
3 Ni 0.5000 0.5000 0.0000  2 H 1.77
4 H 0.5000 0.5000 0.5000  2 Ni 1.77, 4 Co 1.84

D(E_F): 0.2 states/eV/f.u.
DFT total energy: -7.791 eV/atom
spin magnetization: 0.00 μB per cell

=====

# 5
Material: YCoNiH2
Method: DFT, PBEsol
State: relaxed

Lattice parameters (Å, degrees): 3.5960 3.5960 4.4038 90.00 90.00 90.00
Closest atoms and distances in Å follow each position.
Space group P4/mmm (No. 123)
Symmetry-distinct sites (fractional):
1 Y 0.0000 0.0000 0.0000  4 Ni 2.54, 8 H 2.84
2 Co 0.5000 0.5000 0.5000  4 H 1.80
3 Ni 0.5000 0.5000 0.0000  2 Co 2.20
4 H 0.0000 0.5000 0.5000  2 Co 1.80

D(E_F): 3.1 states/eV/f.u.
DFT total energy: -5.419 eV/atom
spin magnetization: 0.87 μB per cell

=====

# 6
Material: Co3HO
Method: DFT, PBEsol
State: relaxed

Lattice parameters (Å, degrees): 3.5144 3.5144 3.5144 90.00 90.00 90.00
Closest atoms and distances in Å follow each position.
Space group Pm-3m (No. 221)
Symmetry-distinct sites (fractional):
1 Co 0.0000 0.0000 0.5000  2 H 1.76
2 H 0.0000 0.0000 0.0000  6 Co 1.76
3 O 0.5000 0.5000 0.5000  12 Co 2.49

D(E_F): 4.2 states/eV/f.u.
DFT total energy: -5.977 eV/atom
spin magnetization: 6.02 μB per cell

=====

# 7
Material: Co2PHO5
Method: DFT, PBEsol
State: relaxed

Lattice parameters (Å, degrees): 7.7633 8.3820 5.8374 90.00 90.00 90.00
Closest atoms and distances in Å follow each position.
Space group Pnnm (No. 58)
Symmetry-distinct sites (fractional):
1 Co 0.0000 0.0000 0.2265  6 O 2.00-2.16
2 Co 0.1438 0.3708 0.0000  5 O 1.96-2.05
3 P 0.2482 0.2428 0.5000  4 O 1.54-1.56
4 H 0.2483 0.0851 0.0000  1 O 0.98
5 O 0.0747 0.1533 0.5000  1 P 1.54
6 O 0.1076 0.6136 0.0000  1 P 1.56
7 O 0.1323 0.1312 0.0000  1 H 0.98
8 O 0.2301 0.8549 0.2109  1 P 1.56

D(E_F): 6.3 states/eV/f.u.
DFT total energy: -6.973 eV/atom
spin magnetization: 24.09 μB per cell

=====

# 8
Material: Co3P2H16O16
Method: DFT, PBEsol
State: relaxed

Lattice parameters (Å, degrees): 8.1767 15.3879 5.8987 90.00 117.36 90.00
Closest atoms and distances in Å follow each position.
Space group C2/m (No. 12)
Symmetry-distinct sites (fractional):
1 Co 0.0000 0.0000 0.0000  4 O 2.07, 2 P 2.22
2 Co 0.0000 0.1894 0.0000  2 O 1.76
3 P 0.2043 0.0000 0.8503  2 O 1.51
4 H 0.0329 0.1583 0.5723  1 H 0.77
5 H 0.1523 0.2838 0.5231  1 O 1.01
6 H 0.1918 0.0784 0.4069  1 O 1.02
7 H 0.2100 0.4157 0.7757  1 O 1.01
8 O 0.0830 0.3118 0.3496  1 H 1.01
9 O 0.1190 0.5000 0.9023  1 P 1.51
10 O 0.1604 0.2658 0.2052  1 O 1.46
11 O 0.1713 0.0975 0.2299  2 H 1.01-1.02
12 O 0.2124 0.0000 0.5997  1 P 1.51, 2 H 1.61

D(E_F): 10.0 states/eV/f.u.
DFT total energy: -5.224 eV/atom
spin magnetization: 8.24 μB per cell

=====

# 9
Material: Tl2CoP4H8O16
Method: DFT, PBEsol
State: relaxed

Lattice parameters (Å, degrees): 6.9794 7.3827 7.5268 80.64 73.22 86.60
Closest atoms and distances in Å follow each position.
Space group P-1 (No. 2)
Symmetry-distinct sites (fractional):
1 Tl 0.1166 0.2234 0.3098  5 O 2.72-3.00
2 Co 0.5000 0.0000 0.5000  6 O 2.04-2.09
3 P 0.2538 0.2991 0.7604  4 O 1.51-1.62
4 P 0.3325 0.7653 0.2371  4 O 1.52-1.62
5 H 0.0670 0.7678 0.0739  1 O 1.08
6 H 0.2636 0.5360 0.4814  1 O 1.10
7 H 0.3749 0.8137 0.8504  1 O 1.01
8 H 0.3874 0.6749 0.7015  1 O 1.01
9 O 0.0707 0.2826 0.9368  1 H 1.08
10 O 0.2469 0.5736 0.3390  1 H 1.10
11 O 0.2489 0.8285 0.0717  1 H 1.37, 1 P 1.52
12 O 0.2589 0.1571 0.6350  1 P 1.51
13 O 0.2795 0.4970 0.6571  1 H 1.34
14 O 0.3054 0.8981 0.3768  1 P 1.52
15 O 0.4312 0.2616 0.8611  2 P 1.62
16 O 0.4457 0.7894 0.7198  2 H 1.01

D(E_F): 2.0 states/eV/f.u.
DFT total energy: -6.295 eV/atom
spin magnetization: 3.00 μB per cell

=====

# 10
Material: Rb2CoH12S2O14
Method: DFT, PBEsol
State: relaxed

Lattice parameters (Å, degrees): 6.2309 9.0478 12.2180 89.73 89.53 74.98
Closest atoms and distances in Å follow each position.
Space group P-1 (No. 2)
Symmetry-distinct sites (fractional):
1 Rb 0.1600 0.1305 0.3459  8 O 2.87-3.16, 1 H 3.04
2 Rb 0.1633 0.6294 0.1534  8 O 2.85-3.16, 2 H 3.02-3.18
3 Co 0.5000 0.0000 0.0000  6 O 2.00-2.12
4 Co 0.5000 0.5000 0.5000  6 O 2.00-2.14
5 H 0.1603 0.3975 0.5573  1 O 1.00
6 H 0.1696 0.8914 0.9382  1 O 1.00
7 H 0.1752 0.0297 0.8572  1 O 1.00
8 H 0.1782 0.2173 0.0909  1 O 1.00
9 H 0.1789 0.5241 0.6450  1 O 1.00
10 H 0.1805 0.7093 0.4055  1 O 1.00
11 H 0.4148 0.2468 0.1266  1 O 1.00
12 H 0.4163 0.2786 0.9027  1 O 1.00
13 H 0.4172 0.7425 0.3720  1 O 1.00
14 H 0.4172 0.7810 0.5958  1 O 1.00
15 H 0.4808 0.1513 0.8091  1 O 1.00
16 H 0.4846 0.6526 0.6884  1 O 1.00
17 S 0.2221 0.0996 0.6382  4 O 1.48-1.50
18 S 0.2271 0.5965 0.8623  4 O 1.48-1.50
19 O 0.0837 0.0888 0.7363  1 S 1.49, 1 H 1.63
20 O 0.0883 0.5842 0.7660  1 S 1.49, 1 H 1.62
21 O 0.0969 0.2304 0.5694  1 S 1.50, 1 H 1.66
22 O 0.1018 0.7273 0.9311  1 S 1.50, 1 H 1.65
23 O 0.2067 0.4947 0.5661  2 H 1.00
24 O 0.2111 0.9910 0.9338  2 H 1.00
25 O 0.2620 0.9580 0.5725  1 S 1.48
26 O 0.2695 0.4553 0.9292  1 S 1.48, 1 H 1.66
27 O 0.3337 0.1667 0.1143  2 H 1.00
28 O 0.3381 0.6606 0.3828  2 H 1.00
29 O 0.4374 0.1275 0.6735  1 S 1.49
30 O 0.4409 0.6259 0.8242  1 S 1.49
31 O 0.4809 0.3224 0.3886  2 H 1.00
32 O 0.4841 0.8252 0.1142  2 H 1.00

D(E_F): 2.5 states/eV/f.u.
DFT total energy: -5.533 eV/atom
spin magnetization: 0.01 μB per cell

=====

# 11
Material: Rb2CoH12Se2O14
Method: DFT, PBEsol
State: relaxed

Lattice parameters (Å, degrees): 6.3551 12.4498 9.2012 90.00 104.80 90.00
Closest atoms and distances in Å follow each position.
Space group P2_1/c (No. 14)
Symmetry-distinct sites (fractional):
1 Rb 0.1619 0.1559 0.3674  8 O 2.89-3.23, 2 H 3.07-3.22
2 Co 0.5000 0.0000 0.0000  6 O 2.00-2.14
3 H 0.1647 0.5543 0.6002  1 O 1.00
4 H 0.1789 0.6406 0.4740  1 O 1.01
5 H 0.1822 0.0914 0.7983  1 O 1.00
6 H 0.4090 0.1276 0.7612  1 O 1.00
7 H 0.4233 0.5928 0.2250  1 O 1.01
8 H 0.4949 0.6849 0.3493  1 O 1.00
9 Se 0.2278 0.6372 0.9016  4 O 1.66-1.67
10 O 0.0737 0.7430 0.9163  1 H 1.63, 1 Se 1.67
11 O 0.0882 0.5620 0.7584  2 H 1.65-1.70, 1 Se 1.67
12 O 0.2142 0.5641 0.5059  2 H 1.00-1.01
13 O 0.2717 0.5626 0.0559  1 H 1.65, 1 Se 1.66
14 O 0.3360 0.1152 0.8439  2 H 1.00
15 O 0.4622 0.6794 0.8697  1 Se 1.67, 2 H 1.72-1.74
16 O 0.4745 0.1089 0.1744  2 H 1.00-1.01

D(E_F): 3.2 states/eV/f.u.
DFT total energy: -5.280 eV/atom
spin magnetization: 6.00 μB per cell

=====

# 12
Material: CoRe2H8O12
Method: DFT, PBEsol
State: relaxed

Lattice parameters (Å, degrees): 6.5957 6.8252 7.0651 69.21 63.78 69.67
Closest atoms and distances in Å follow each position.
Space group P-1 (No. 2)
Symmetry-distinct sites (fractional):
1 Co 0.0000 0.0000 0.0000  6 O 2.01-2.04
2 Re 0.3305 0.5800 0.2926  4 O 1.74-1.76
3 H 0.0461 0.7909 0.7206  1 O 0.99
4 H 0.1870 0.2401 0.0669  1 O 0.99
5 H 0.3141 0.1293 0.6317  1 O 1.00
6 H 0.4424 0.8897 0.7262  1 O 1.00
7 O 0.0783 0.1431 0.1600  2 H 0.99
8 O 0.1130 0.7128 0.1826  1 Re 1.75
9 O 0.2694 0.6810 0.5112  1 H 1.74, 1 Re 1.74
10 O 0.3144 0.0158 0.7676  2 H 1.00
11 O 0.3340 0.3031 0.3847  2 H 1.70, 1 Re 1.76
12 O 0.4041 0.3780 0.9083  1 H 1.72, 1 Re 1.74

D(E_F): 3.4 states/eV/f.u.
DFT total energy: -6.581 eV/atom
spin magnetization: 3.00 μB per cell

=====

# 13
Material: CoH2SO5
Method: DFT, PBEsol
State: relaxed

Lattice parameters (Å, degrees): 6.7407 7.7327 7.3949 90.00 116.40 90.00
Closest atoms and distances in Å follow each position.
Space group C2/c (No. 15)
Symmetry-distinct sites (fractional):
1 Co 0.2500 0.2500 0.0000  6 O 2.03-2.13
2 H 0.0918 0.0428 0.7042  1 O 1.01
3 S 0.0000 0.4129 0.2500  4 O 1.47-1.50
4 O 0.0000 0.1178 0.7500  2 H 1.01
5 O 0.0149 0.3046 0.0927  1 S 1.47
6 O 0.2025 0.4743 0.8423  1 S 1.50, 1 H 1.66

D(E_F): 4.3 states/eV/f.u.
DFT total energy: -6.133 eV/atom
spin magnetization: 12.00 μB per cell